(1)
A relaxed GaOsCl2 crystal. Source: the Alexandria database, functional PBE.

Structure (POSCAR):
```
GaOsCl2
1.0
-2.290 8.262 3.188
0.566 7.490 5.219
1.018 8.880 1.941
Os Ga Cl
1 1 2
Direct
0.500 0.500 0.500
0.000 0.000 0.000
0.879 0.879 0.879
0.121 0.121 0.121
```

Summary:
- E: -16.29 eV per cell
- SG: R-3m

(2)
A relaxed ZnCoH2 crystal. Source: the Alexandria database, functional PBE.

Structure (POSCAR):
```
ZnCoH2
1.0
2.735 0.000 0.000
0.000 4.257 0.000
0.000 0.000 5.119
Zn Co H
2 2 4
Direct
0.000 0.000 0.425
0.500 0.500 0.575
0.000 0.500 0.124
0.500 0.000 0.876
0.000 0.238 0.863
0.000 0.762 0.863
0.500 0.262 0.137
0.500 0.738 0.137
```

Summary:
- E: -29.67 eV per cell
- SG: Pmmn

(3)
A relaxed HfTl5Te5 crystal. Source: the Alexandria database, functional PBE.

Structure (POSCAR):
```
HfTl5Te5
1.0
-3.674 -3.683 -3.740
7.556 -2.840 0.862
-5.251 -2.185 7.312
Hf Tl Te
1 5 5
Direct
0.000 0.000 0.000
0.701 0.402 0.304
0.642 0.285 0.793
0.000 0.000 0.500
0.358 0.715 0.207
0.299 0.598 0.696
0.846 0.693 0.110
0.853 0.707 0.691
0.500 0.000 0.000
0.147 0.293 0.309
0.154 0.307 0.890
```

Summary:
- E: -41.28 eV per cell
- SG: C2/m

(4)
A relaxed Cu2PIr2 crystal. Source: the Alexandria database, functional PBE.

Structure (POSCAR):
```
Cu2PIr2
1.0
-4.405 -3.995 0.036
3.189 -3.547 -3.552
1.681 -1.823 3.329
P Ir Cu
2 4 4
Direct
0.000 0.000 0.000
0.500 0.500 0.000
0.345 0.845 0.000
0.845 0.655 0.000
0.655 0.155 0.000
0.155 0.345 0.000
0.150 0.650 0.500
0.650 0.850 0.500
0.850 0.350 0.500
0.350 0.150 0.500
```

Summary:
- SG: P4/mbm
- Energy relative to the elements: -25 meV per atom

(5)
A relaxed Os2AuCl crystal. Source: the Alexandria database, functional PBE.

Structure (POSCAR):
```
Os2AuCl
1.0
4.251 0.728 1.140
1.225 -0.196 4.285
2.532 -3.377 1.444
Os Au Cl
2 1 1
Direct
0.250 0.250 0.250
0.750 0.750 0.750
0.500 0.500 0.500
0.000 0.000 0.000
```

Summary:
- E: -21.51 eV per cell
- SG: Fm-3m

(6)
A relaxed Ti2PbI crystal. Source: the Alexandria database, functional PBE.

Structure (POSCAR):
```
Ti2PbI
1.0
0.000 3.489 3.489
3.489 0.000 3.489
3.489 3.489 0.000
Pb I Ti
1 1 2
Direct
0.500 0.500 0.500
0.000 0.000 0.000
0.250 0.250 0.250
0.750 0.750 0.750
```

Summary:
- E: -20.10 eV per cell
- SG: Fm-3m

(7)
A relaxed Lu2NbAg crystal. Source: the Alexandria database, functional PBE.

Structure (POSCAR):
```
Lu2NbAg
1.0
3.290 0.000 0.000
0.000 3.290 0.000
0.000 0.000 8.335
Nb Lu Ag
1 2 1
Direct
0.500 0.500 0.500
0.000 0.000 0.756
0.000 0.000 0.244
0.500 0.500 0.000
```

Summary:
- SG: P4/mmm
- Energy relative to the elements: -32 meV per atom

(8)
A relaxed La2YAl crystal. Source: the Alexandria database, functional PBE.

Structure (POSCAR):
```
La2YAl
1.0
5.508 0.000 0.000
2.754 4.770 0.000
2.754 1.590 4.497
Y Al La
1 1 2
Direct
0.750 0.750 0.750
0.500 0.500 0.500
0.000 0.000 0.000
0.250 0.250 0.250
```

Summary:
- SG: F-43m
- Energy relative to the elements: -18 meV per atom

(9)
A relaxed HgBiSe3 crystal. Source: the Alexandria database, functional PBE.

Structure (POSCAR):
```
HgBiSe3
1.0
5.217 0.000 0.000
0.000 5.217 0.000
0.000 0.000 5.217
Bi Se Hg
1 3 1
Direct
0.500 0.500 0.500
0.000 0.500 0.000
0.000 0.000 0.500
0.500 0.000 0.000
0.000 0.000 0.000
```

Summary:
- E: -12.18 eV per cell
- SG: Pm-3m

(10)
A relaxed ScInTc2Ru crystal. Source: the Alexandria database, functional PBE.

Structure (POSCAR):
```
ScInTc2Ru
1.0
-1.310 4.620 -0.770
-4.499 -1.430 -0.927
-1.119 0.468 4.709
Sc Ru Tc In
1 1 2 1
Direct
0.500 0.500 0.500
0.000 0.500 0.000
0.000 0.000 0.500
0.500 0.000 0.000
0.000 0.000 0.000
```

Summary:
- SG: P4/mmm
- Energy relative to the elements: 1732 meV per atom

(11)
A relaxed V2AsAu crystal. Source: the Alexandria database, functional PBE.

Structure (POSCAR):
```
V2AsAu
1.0
5.406 0.000 0.000
0.000 5.406 0.000
2.703 2.703 6.596
As Au V
2 2 4
Direct
0.500 0.500 0.000
0.250 0.750 0.500
0.000 0.000 0.000
0.750 0.250 0.500
0.600 0.125 0.250
0.150 0.625 0.250
0.375 0.400 0.750
0.875 0.850 0.750
```

Summary:
- SG: I-42d
- Energy relative to the elements: 606 meV per atom

(12)
A relaxed AgPN2 crystal. Source: the Alexandria database, functional PBE.

Structure (POSCAR):
```
AgPN2
1.0
-3.460 -5.394 0.266
-1.322 -6.131 -1.341
-1.058 -6.164 1.421
P Ag N
1 1 2
Direct
0.500 0.500 0.500
0.000 0.000 0.000
0.883 0.883 0.883
0.117 0.117 0.117
```

Summary:
- E: -24.36 eV per cell
- SG: R-3m

(13)
A relaxed SrPtW crystal. Source: the Alexandria database, functional PBE.

Structure (POSCAR):
```
SrPtW
1.0
3.380 0.006 -0.007
0.017 3.292 0.002
0.216 0.015 11.706
Sr Pt W
2 2 2
Direct
0.688 0.940 0.855
0.707 0.942 0.509
0.198 0.441 0.680
0.182 0.440 0.045
0.646 0.935 0.183
0.206 0.443 0.292
```

Summary:
- SG: P1
- Energy relative to the elements: 22 meV per atom

(14)
A relaxed SrCuN crystal. Source: the Alexandria database, functional PBE.

Structure (POSCAR):
```
SrCuN
1.0
3.745 0.000 0.000
0.000 5.363 0.000
0.000 0.000 5.934
Sr Cu N
2 2 2
Direct
0.500 0.268 0.250
0.500 0.732 0.750
0.000 0.293 0.750
0.000 0.707 0.250
0.000 0.500 0.500
0.000 0.500 0.000
```

Summary:
- E: -28.60 eV per cell
- SG: Pmma

(15)
A relaxed HfScIn2B crystal. Source: the Alexandria database, functional PBE.

Structure (POSCAR):
```
HfScIn2B
1.0
5.427 0.000 0.000
0.000 4.380 0.000
0.000 0.000 5.427
Sc B Hf In
1 1 1 2
Direct
0.500 0.500 0.500
0.000 0.500 0.000
0.000 0.000 0.000
0.000 0.000 0.500
0.500 0.000 0.000
```

Summary:
- SG: P4/mmm
- Energy relative to the elements: 804 meV per atom

(16)
A relaxed Pm3InP crystal. Source: the Alexandria database, functional PBE.

Structure (POSCAR):
```
Pm3InP
1.0
-4.229 -1.830 0.169
2.709 -6.070 2.078
-0.793 2.629 8.646
Pm In P
6 2 2
Direct
0.250 0.003 0.337
0.250 0.496 0.337
0.250 0.251 0.923
0.750 0.997 0.663
0.750 0.749 0.077
0.750 0.504 0.663
0.750 0.249 0.152
0.250 0.751 0.848
0.750 0.750 0.397
0.250 0.250 0.603
```

Summary:
- SG: P2_1/m
- Energy relative to the elements: -758 meV per atom

(17)
A relaxed Mg4AlTl3 crystal. Source: the Alexandria database, functional PBE.

Structure (POSCAR):
```
Mg4AlTl3
1.0
3.457 0.000 0.000
0.000 3.457 0.000
0.000 0.000 15.898
Mg Al Tl
4 1 3
Direct
0.000 0.000 0.892
0.000 0.000 0.108
0.000 0.000 0.369
0.000 0.000 0.631
0.500 0.500 0.000
0.500 0.500 0.238
0.500 0.500 0.500
0.500 0.500 0.762
```

Summary:
- SG: P4/mmm
- Energy relative to the elements: 0 meV per atom

(18)
A relaxed Pu2Ir2Rh crystal. Source: the Alexandria database, functional PBE.

Structure (POSCAR):
```
Pu2Ir2Rh
1.0
4.539 0.000 0.000
0.000 5.431 0.000
-2.270 -2.715 4.017
Pu Ir Rh
2 2 1
Direct
0.801 0.301 0.602
0.199 0.699 0.398
0.500 0.739 0.000
0.500 0.261 0.000
0.000 0.000 0.000
```

Summary:
- SG: Immm
- Energy relative to the elements: -473 meV per atom

(19)
A relaxed BaNiSn4 crystal. Source: the Alexandria database, functional PBE.

Structure (POSCAR):
```
BaNiSn4
1.0
-3.825 0.608 2.992
1.275 -5.861 2.821
8.049 4.351 5.404
Ba Ni Sn
2 2 8
Direct
0.383 0.750 0.766
0.617 0.250 0.234
0.108 0.750 0.216
0.892 0.250 0.784
0.209 0.512 0.419
0.791 0.488 0.581
0.209 0.988 0.419
0.791 0.012 0.581
0.571 0.750 0.141
0.429 0.250 0.859
0.000 0.500 0.000
0.000 0.000 0.000
```

Summary:
- SG: Cmcm
- Energy relative to the elements: -270 meV per atom

(20)
A relaxed Li6InAg crystal. Source: the Alexandria database, functional PBE.

Structure (POSCAR):
```
Li6InAg
1.0
-3.625 3.036 -0.968
-1.967 -3.660 -4.112
-1.889 -0.498 5.510
Li In Ag
6 1 1
Direct
0.000 0.090 0.421
0.000 0.579 0.910
0.000 0.580 0.420
0.500 0.409 0.079
0.500 0.921 0.591
0.500 0.921 0.079
0.500 0.417 0.583
0.000 0.083 0.917
```

Summary:
- SG: Amm2
- Energy relative to the elements: -180 meV per atom

(21)
A relaxed NaAg2BiH crystal. Source: the Alexandria database, functional PBE.

Structure (POSCAR):
```
NaAg2BiH
1.0
-0.975 4.043 -1.423
-3.806 -0.145 2.195
2.115 1.843 3.788
Na Bi Ag H
1 1 2 1
Direct
0.000 0.000 0.500
0.500 0.500 0.500
0.000 0.500 0.000
0.500 0.000 0.000
0.000 0.000 0.000
```

Summary:
- E: -13.90 eV per cell
- SG: P4/mmm

(22)
A relaxed KHgTe3 crystal. Source: the Alexandria database, functional PBE.

Structure (POSCAR):
```
KHgTe3
1.0
-0.165 -3.135 -4.848
4.400 -3.208 1.925
-3.738 -3.638 2.479
K Te Hg
1 3 1
Direct
0.500 0.500 0.500
0.000 0.500 0.000
0.000 0.000 0.500
0.500 0.000 0.000
0.000 0.000 0.000
```

Summary:
- E: -10.86 eV per cell
- SG: Pm-3m

(23)
A relaxed ScZnRe4 crystal. Source: the Alexandria database, functional PBE.

Structure (POSCAR):
```
ScZnRe4
1.0
1.904 -4.756 1.076
2.468 -0.867 4.534
-2.259 -2.951 3.687
Sc Zn Re
1 1 4
Direct
0.750 0.750 0.750
0.000 0.000 0.000
0.876 0.375 0.375
0.375 0.375 0.876
0.375 0.876 0.375
0.375 0.375 0.375
```

Summary:
- SG: F-43m
- Energy relative to the elements: 81 meV per atom

(24)
A relaxed PuCo crystal. Source: the Alexandria database, functional PBE.

Structure (POSCAR):
```
PuCo
1.0
-3.620 2.610 1.064
-1.614 -3.702 3.587
5.031 4.261 6.662
Pu Co
6 6
Direct
0.500 0.000 0.333
0.500 0.500 0.833
0.500 0.500 0.167
0.500 0.000 0.667
0.000 0.000 0.000
0.000 0.500 0.500
0.000 0.250 0.250
0.000 0.250 0.750
0.000 0.750 0.250
0.000 0.750 0.750
0.000 0.500 0.000
0.000 0.000 0.500
```

Summary:
- SG: Cmmm
- Energy relative to the elements: 75 meV per atom

(25)
A relaxed K3PSe3 crystal. Source: the Alexandria database, functional PBE.

Structure (POSCAR):
```
K3PSe3
1.0
6.542 0.000 0.000
0.000 9.996 0.007
0.000 -4.974 8.670
K P Se
6 2 6
Direct
0.250 0.631 0.815
0.250 0.184 0.369
0.250 0.184 0.817
0.750 0.369 0.185
0.750 0.816 0.631
0.750 0.816 0.183
0.750 0.333 0.667
0.250 0.667 0.333
0.750 0.603 0.801
0.750 0.198 0.397
0.750 0.198 0.803
0.250 0.397 0.199
0.250 0.802 0.603
0.250 0.802 0.197
```

Summary:
- E: -47.28 eV per cell
- SG: Cmcm

Looking at total magnetization for the records above, in order, we have 0.00; 0.00; 0.00; 0.00; 0.00; 0.00; 0.00; 0.01; 0.00; 3.76; 11.45; 0.00; 0.00; 0.00; 0.00; 0.00; 0.00; 9.39; 0.00; 0.00; 0.00; 0.00; 0.00; 29.17; 3.53 μB per cell.